# CaY2Pt2

A geometry-optimized CaY2Pt2 structure (PBE, Alexandria via LeMat-Bulk).

Unit cell a=4.7197 b=4.7197 c=6.7934 alpha=69.67 beta=69.67 gamma=90.00
Closest atoms and distances in Å follow each position.
Atoms (fractional coordinates):
Ca  0.0000  0.0000  0.0000  8 Pt 3.59, 8 Y 3.78
Y  0.7500  0.2500  0.5000  4 Pt 2.87
Pt  0.3878  0.3878  0.2245  1 Pt 2.66, 4 Y 2.87
Pt  0.6122  0.6122  0.7755  1 Pt 2.66, 4 Y 2.87
Y  0.2500  0.7500  0.5000  4 Pt 2.87

## Properties
Its distance to the lowest polymorph of the same formula is 0.47 eV per formula unit. The density of states at the Fermi level is 3.1 states/eV/cell. The formation energy comes out at -0.912 eV per atom.